Entry 1:
# PrLuGaSn, optimized geometry, DFT GGA-PBE
data_PrLuGaSn
_space_group_name_H-M_alt 'F -4 3 m'
_space_group_IT_number 216
_space_group_name_Hall 'F -4 2 3'
_cell_length_a 7.466
_cell_length_b 7.466
_cell_length_c 7.466
_cell_angle_alpha 90.00
_cell_angle_beta 90.00
_cell_angle_gamma 90.00
loop_
_atom_site_label
_atom_site_fract_x
_atom_site_fract_y
_atom_site_fract_z
Pr1 0.000 0.000 0.000
Lu1 0.000 0.000 0.500
Ga1 0.250 0.250 0.250
Sn1 0.250 0.250 0.750
# * D(E_F): 3.47 states/eV/f.u.
# * formation enthalpy at 0 K: -0.50 eV per atom

Entry 2:
# TbPrLuGa, optimized geometry, DFT GGA-PBE
data_TbPrLuGa
_space_group_name_H-M_alt 'F -4 3 m'
_space_group_IT_number 216
_space_group_name_Hall 'F -4 2 3'
_cell_length_a 7.591
_cell_length_b 7.591
_cell_length_c 7.591
_cell_angle_alpha 90.00
_cell_angle_beta 90.00
_cell_angle_gamma 90.00
loop_
_atom_site_label
_atom_site_fract_x
_atom_site_fract_y
_atom_site_fract_z
Tb1 0.000 0.000 0.000
Pr1 0.000 0.000 0.500
Lu1 0.250 0.250 0.750
Ga1 0.250 0.250 0.250
# * D(E_F): 6.86 states/eV/f.u.
# * formation enthalpy at 0 K: -0.11 eV per atom

Entry 3:
# PrLuTlGa, optimized geometry, DFT GGA-PBE
data_PrLuTlGa
_space_group_name_H-M_alt 'F -4 3 m'
_space_group_IT_number 216
_space_group_name_Hall 'F -4 2 3'
_cell_length_a 7.474
_cell_length_b 7.474
_cell_length_c 7.474
_cell_angle_alpha 90.00
_cell_angle_beta 90.00
_cell_angle_gamma 90.00
loop_
_atom_site_label
_atom_site_fract_x
_atom_site_fract_y
_atom_site_fract_z
Pr1 0.000 0.000 0.000
Lu1 0.000 0.000 0.500
Tl1 0.250 0.250 0.250
Ga1 0.250 0.250 0.750
# * D(E_F): 1.70 states/eV/f.u.
# * formation enthalpy at 0 K: -0.40 eV per atom

Entry 4:
# PrTmLuGa, optimized geometry, DFT GGA-PBE
data_PrTmLuGa
_space_group_name_H-M_alt 'F -4 3 m'
_space_group_IT_number 216
_space_group_name_Hall 'F -4 2 3'
_cell_length_a 7.548
_cell_length_b 7.548
_cell_length_c 7.548
_cell_angle_alpha 90.00
_cell_angle_beta 90.00
_cell_angle_gamma 90.00
loop_
_atom_site_label
_atom_site_fract_x
_atom_site_fract_y
_atom_site_fract_z
Pr1 0.000 0.000 0.000
Tm1 0.000 0.000 0.500
Lu1 0.250 0.250 0.750
Ga1 0.250 0.250 0.250
# * D(E_F): 6.49 states/eV/f.u.
# * formation enthalpy at 0 K: -0.10 eV per atom

Entry 5:
# PrYLuGa, optimized geometry, DFT GGA-PBE
data_PrYLuGa
_space_group_name_H-M_alt 'F -4 3 m'
_space_group_IT_number 216
_space_group_name_Hall 'F -4 2 3'
_cell_length_a 7.595
_cell_length_b 7.595
_cell_length_c 7.595
_cell_angle_alpha 90.00
_cell_angle_beta 90.00
_cell_angle_gamma 90.00
loop_
_atom_site_label
_atom_site_fract_x
_atom_site_fract_y
_atom_site_fract_z
Pr1 0.000 0.000 0.000
Y1 0.000 0.000 0.500
Lu1 0.250 0.250 0.750
Ga1 0.250 0.250 0.250
# * D(E_F): 6.14 states/eV/f.u.
# * formation enthalpy at 0 K: -0.11 eV per atom

Entry 6:
# PrLuZnGa, optimized geometry, DFT GGA-PBE
data_PrLuZnGa
_space_group_name_H-M_alt 'F -4 3 m'
_space_group_IT_number 216
_space_group_name_Hall 'F -4 2 3'
_cell_length_a 7.235
_cell_length_b 7.235
_cell_length_c 7.235
_cell_angle_alpha 90.00
_cell_angle_beta 90.00
_cell_angle_gamma 90.00
loop_
_atom_site_label
_atom_site_fract_x
_atom_site_fract_y
_atom_site_fract_z
Pr1 0.000 0.000 0.000
Lu1 0.000 0.000 0.500
Zn1 0.250 0.250 0.750
Ga1 0.250 0.250 0.250
# * D(E_F): 3.09 states/eV/f.u.
# * formation enthalpy at 0 K: -0.44 eV per atom

Entry 7:
# LuGaPt2, optimized geometry, DFT GGA-PBE
data_LuGaPt2
_space_group_name_H-M_alt 'P 4/m m m'
_space_group_IT_number 123
_space_group_name_Hall '-P 4 2'
_cell_length_a 4.358
_cell_length_b 4.358
_cell_length_c 3.713
_cell_angle_alpha 90.00
_cell_angle_beta 90.00
_cell_angle_gamma 90.00
loop_
_atom_site_label
_atom_site_fract_x
_atom_site_fract_y
_atom_site_fract_z
Lu1 0.000 0.000 0.000
Ga1 0.500 0.500 0.000
Pt1 0.000 0.500 0.500
# * D(E_F): 3.79 states/eV/f.u.
# * formation enthalpy at 0 K: -0.92 eV per atom

Entry 8:
# LuGaPt2, optimized geometry, DFT GGA-PBE
data_LuGaPt2
_space_group_name_H-M_alt 'P 4/m m m'
_space_group_IT_number 123
_space_group_name_Hall '-P 4 2'
_cell_length_a 3.361
_cell_length_b 3.361
_cell_length_c 6.251
_cell_angle_alpha 90.00
_cell_angle_beta 90.00
_cell_angle_gamma 90.00
loop_
_atom_site_label
_atom_site_fract_x
_atom_site_fract_y
_atom_site_fract_z
Lu1 0.000 0.000 0.000
Ga1 0.000 0.000 0.500
Pt1 0.500 0.500 0.272
# * D(E_F): 1.23 states/eV/f.u.
# * formation enthalpy at 0 K: -0.94 eV per atom

Entry 9:
# LuGaPtRh, optimized geometry, DFT GGA-PBE
data_LuGaPtRh
_space_group_name_H-M_alt 'F -4 3 m'
_space_group_IT_number 216
_space_group_name_Hall 'F -4 2 3'
_cell_length_a 6.466
_cell_length_b 6.466
_cell_length_c 6.466
_cell_angle_alpha 90.00
_cell_angle_beta 90.00
_cell_angle_gamma 90.00
loop_
_atom_site_label
_atom_site_fract_x
_atom_site_fract_y
_atom_site_fract_z
Lu1 0.000 0.000 0.000
Ga1 0.000 0.000 0.500
Pt1 0.250 0.250 0.250
Rh1 0.250 0.250 0.750
# * D(E_F): 2.72 states/eV/f.u.
# * formation enthalpy at 0 K: -0.91 eV per atom

Entry 10:
# LuGaRuPt, optimized geometry, DFT GGA-PBE
data_LuGaRuPt
_space_group_name_H-M_alt 'F -4 3 m'
_space_group_IT_number 216
_space_group_name_Hall 'F -4 2 3'
_cell_length_a 6.426
_cell_length_b 6.426
_cell_length_c 6.426
_cell_angle_alpha 90.00
_cell_angle_beta 90.00
_cell_angle_gamma 90.00
loop_
_atom_site_label
_atom_site_fract_x
_atom_site_fract_y
_atom_site_fract_z
Lu1 0.000 0.000 0.000
Ga1 0.000 0.000 0.500
Ru1 0.250 0.250 0.250
Pt1 0.250 0.250 0.750
# * D(E_F): 0.49 states/eV/f.u.
# * formation enthalpy at 0 K: -0.72 eV per atom

Entry 11:
# LuThGaPt, optimized geometry, DFT GGA-PBE
data_LuThGaPt
_space_group_name_H-M_alt 'F -4 3 m'
_space_group_IT_number 216
_space_group_name_Hall 'F -4 2 3'
_cell_length_a 7.175
_cell_length_b 7.175
_cell_length_c 7.175
_cell_angle_alpha 90.00
_cell_angle_beta 90.00
_cell_angle_gamma 90.00
loop_
_atom_site_label
_atom_site_fract_x
_atom_site_fract_y
_atom_site_fract_z
Lu1 0.000 0.000 0.000
Th1 0.000 0.000 0.500
Ga1 0.250 0.250 0.750
Pt1 0.250 0.250 0.250
# * D(E_F): 3.08 states/eV/f.u.
# * formation enthalpy at 0 K: -0.76 eV per atom

Entry 12:
# LuTiGaPt, optimized geometry, DFT GGA-PBE
data_LuTiGaPt
_space_group_name_H-M_alt 'F -4 3 m'
_space_group_IT_number 216
_space_group_name_Hall 'F -4 2 3'
_cell_length_a 6.664
_cell_length_b 6.664
_cell_length_c 6.664
_cell_angle_alpha 90.00
_cell_angle_beta 90.00
_cell_angle_gamma 90.00
loop_
_atom_site_label
_atom_site_fract_x
_atom_site_fract_y
_atom_site_fract_z
Lu1 0.000 0.000 0.000
Ti1 0.000 0.000 0.500
Ga1 0.250 0.250 0.250
Pt1 0.250 0.250 0.750
# * D(E_F): 4.61 states/eV/f.u.
# * formation enthalpy at 0 K: -0.66 eV per atom

Entry 13:
# YLuGaPt, optimized geometry, DFT GGA-PBE
data_YLuGaPt
_space_group_name_H-M_alt 'F -4 3 m'
_space_group_IT_number 216
_space_group_name_Hall 'F -4 2 3'
_cell_length_a 7.015
_cell_length_b 7.015
_cell_length_c 7.015
_cell_angle_alpha 90.00
_cell_angle_beta 90.00
_cell_angle_gamma 90.00
loop_
_atom_site_label
_atom_site_fract_x
_atom_site_fract_y
_atom_site_fract_z
Y1 0.000 0.000 0.000
Lu1 0.000 0.000 0.500
Ga1 0.250 0.250 0.750
Pt1 0.250 0.250 0.250
# * D(E_F): 3.68 states/eV/f.u.
# * formation enthalpy at 0 K: -0.89 eV per atom

Entry 14:
# LuZrGaPt, optimized geometry, DFT GGA-PBE
data_LuZrGaPt
_space_group_name_H-M_alt 'F -4 3 m'
_space_group_IT_number 216
_space_group_name_Hall 'F -4 2 3'
_cell_length_a 6.834
_cell_length_b 6.834
_cell_length_c 6.834
_cell_angle_alpha 90.00
_cell_angle_beta 90.00
_cell_angle_gamma 90.00
loop_
_atom_site_label
_atom_site_fract_x
_atom_site_fract_y
_atom_site_fract_z
Lu1 0.000 0.000 0.000
Zr1 0.000 0.000 0.500
Ga1 0.250 0.250 0.750
Pt1 0.250 0.250 0.250
# * D(E_F): 3.01 states/eV/f.u.
# * formation enthalpy at 0 K: -0.74 eV per atom

Entry 15:
# Lu2PuGa, optimized geometry, DFT GGA-PBE
data_Lu2PuGa
_space_group_name_H-M_alt 'R -3 m'
_space_group_IT_number 166
_space_group_name_Hall '-R 3 2"'
_cell_length_a 3.4403
_cell_length_b 3.4403
_cell_length_c 30.3251
_cell_angle_alpha 90.00
_cell_angle_beta 90.00
_cell_angle_gamma 120.00
loop_
_atom_site_label
_atom_site_fract_x
_atom_site_fract_y
_atom_site_fract_z
Lu1 0.0000 0.0000 0.2394
Pu1 0.0000 0.0000 0.0000
Ga1 0.0000 0.0000 0.5000
# * energy above the most stable polymorph in this dataset: 0.096 eV/atom
# * D(E_F): 9.50 states/eV/f.u.
# * formation enthalpy at 0 K: -0.12 eV per atom

Entry 16:
# LuPuGa4, optimized geometry, DFT GGA-PBE
data_LuPuGa4
_space_group_name_H-M_alt 'F -4 3 m'
_space_group_IT_number 216
_space_group_name_Hall 'F -4 2 3'
_cell_length_a 7.766
_cell_length_b 7.766
_cell_length_c 7.766
_cell_angle_alpha 90.00
_cell_angle_beta 90.00
_cell_angle_gamma 90.00
loop_
_atom_site_label
_atom_site_fract_x
_atom_site_fract_y
_atom_site_fract_z
Lu1 0.000 0.000 0.000
Pu1 0.250 0.250 0.750
Ga1 0.125 0.125 0.375
# * D(E_F): 14.24 states/eV/f.u.
# * formation enthalpy at 0 K: -0.40 eV per atom

Entry 17:
# Lu2PuGa, optimized geometry, DFT GGA-PBE
data_Lu2PuGa
_space_group_name_H-M_alt 'P 4/m m m'
_space_group_IT_number 123
_space_group_name_Hall '-P 4 2'
_cell_length_a 4.680
_cell_length_b 4.680
_cell_length_c 4.485
_cell_angle_alpha 90.00
_cell_angle_beta 90.00
_cell_angle_gamma 90.00
loop_
_atom_site_label
_atom_site_fract_x
_atom_site_fract_y
_atom_site_fract_z
Lu1 0.000 0.500 0.000
Pu1 0.000 0.000 0.500
Ga1 0.500 0.500 0.500
# * energy above the most stable polymorph in this dataset: 0.081 eV/atom
# * D(E_F): 9.74 states/eV/f.u.
# * formation enthalpy at 0 K: -0.14 eV per atom

Entry 18:
# LuPuGa2, optimized geometry, DFT GGA-PBE
data_LuPuGa2
_space_group_name_H-M_alt 'P 4/m m m'
_space_group_IT_number 123
_space_group_name_Hall '-P 4 2'
_cell_length_a 5.035
_cell_length_b 5.035
_cell_length_c 3.528
_cell_angle_alpha 90.00
_cell_angle_beta 90.00
_cell_angle_gamma 90.00
loop_
_atom_site_label
_atom_site_fract_x
_atom_site_fract_y
_atom_site_fract_z
Lu1 0.000 0.000 0.000
Pu1 0.500 0.500 0.000
Ga1 0.000 0.500 0.500
# * energy above the most stable polymorph in this dataset: 0.039 eV/atom
# * D(E_F): 7.97 states/eV/f.u.
# * formation enthalpy at 0 K: -0.38 eV per atom

Entry 19:
# LuPuGa2, optimized geometry, DFT GGA-PBE
data_LuPuGa2
_space_group_name_H-M_alt 'P 4/m m m'
_space_group_IT_number 123
_space_group_name_Hall '-P 4 2'
_cell_length_a 3.233
_cell_length_b 3.233
_cell_length_c 8.315
_cell_angle_alpha 90.00
_cell_angle_beta 90.00
_cell_angle_gamma 90.00
loop_
_atom_site_label
_atom_site_fract_x
_atom_site_fract_y
_atom_site_fract_z
Lu1 0.000 0.000 0.000
Pu1 0.000 0.000 0.500
Ga1 0.500 0.500 0.243
# * energy above the most stable polymorph in this dataset: 0.015 eV/atom
# * D(E_F): 7.39 states/eV/f.u.
# * formation enthalpy at 0 K: -0.40 eV per atom

Entry 20:
# LuPuGa2, optimized geometry, DFT GGA-PBE
data_LuPuGa2
_space_group_name_H-M_alt 'F m -3 m'
_space_group_IT_number 225
_space_group_name_Hall '-F 4 2 3'
_cell_length_a 7.077
_cell_length_b 7.077
_cell_length_c 7.077
_cell_angle_alpha 90.00
_cell_angle_beta 90.00
_cell_angle_gamma 90.00
loop_
_atom_site_label
_atom_site_fract_x
_atom_site_fract_y
_atom_site_fract_z
Lu1 0.000 0.000 0.000
Pu1 0.000 0.000 0.500
Ga1 0.250 0.250 0.250
# * energy above the most stable polymorph in this dataset: 0.000 eV/atom
# * D(E_F): 7.01 states/eV/f.u.
# * formation enthalpy at 0 K: -0.42 eV per atom

no.,M_tot (μB/f.u.)
1,0.00
2,0.12
3,0.00
4,0.13
5,0.67
6,0.00
7,0.00
8,0.00
9,0.00
10,0.01
11,0.00
12,0.95
13,0.00
14,0.00
15,6.21
16,6.09
17,6.59
18,5.67
19,5.37
20,5.61